# 1
The following is a PBEsol calculation of BeIn2Pt after structural relaxation, from the Alexandria database.

Values from the calculation:
The density of states at the Fermi level is 1.45 states/eV/cell. As for the density: 10.27 g/cm3. The calculation puts the raw total energy at -4.33 eV per atom. The crystal system is orthorhombic. The size of the total moment comes out at 0.0 μB per cell.

Cell lengths 6.1396, 6.1396, 6.1396 Å; angles 152.53, 138.73, 50.29 degrees
Closest atoms and distances in Å follow each position.
Fractional coordinates of all 4 atoms:
Be 0.0000 0.0000 0.0000  2 Pt 2.29
In 0.2384 0.7384 0.5000  4 Pt 2.85, 2 In 2.92, 2 Be 3.02
In 0.5259 0.5259 0.0000  4 Be 2.62, 2 In 2.92
Pt 0.8405 0.3405 0.5000  2 Be 2.29

# 2
The following is a PBEsol calculation of BeInPt2 after structural relaxation, from the Alexandria database.

Values from the calculation:
The density of states at the Fermi level is 1.32 states/eV/cell. As for the density: 14.43 g/cm3. The calculation puts the raw total energy at -5.55 eV per atom. The crystal system is trigonal. The size of the total moment comes out at 0.0 μB per cell.

Cell lengths 8.2801, 8.2801, 8.2801 Å; angles 20.19, 20.19, 20.19 degrees
Closest atoms and distances in Å follow each position.
Fractional coordinates of all 4 atoms:
Be 0.0000 0.0000 0.0000  6 Pt 2.36
In 0.5000 0.5000 0.5000  6 In 2.90, 6 Pt 2.92
Pt 0.2649 0.2649 0.2649  3 Be 2.36
Pt 0.7351 0.7351 0.7351  3 Be 2.36

# 3
The following is a PBEsol calculation of BeInPt2 after structural relaxation, from the Alexandria database.

Values from the calculation:
The density of states at the Fermi level is 1.19 states/eV/cell. As for the density: 14.10 g/cm3. The calculation puts the raw total energy at -5.55 eV per atom. The crystal system is monoclinic. The size of the total moment comes out at 0.0 μB per cell.

Cell lengths 2.8866, 4.2361, 5.1561 Å; angles 90.00, 106.20, 90.00 degrees
Closest atoms and distances in Å follow each position.
Fractional coordinates of all 4 atoms:
Be 0.0000 0.0000 0.0000  2 Pt 2.22
In 0.6688 0.5000 0.3257  7 Pt 2.67-2.86, 2 In 2.89
Pt 0.2965 0.0000 0.5804  2 Be 2.52-2.54
Pt 0.9390 0.5000 0.8653  2 Be 2.22

# 4
The following is a PBEsol calculation of BeInPt2 after structural relaxation, from the Alexandria database.

Values from the calculation:
The density of states at the Fermi level is 1.42 states/eV/cell. As for the density: 14.02 g/cm3. The calculation puts the raw total energy at -5.56 eV per atom. The crystal system is tetragonal. The size of the total moment comes out at 0.0 μB per cell.

Cell lengths 3.1543, 3.1543, 6.1167 Å; angles 90.00, 90.00, 90.00 degrees
Closest atoms and distances in Å follow each position.
Fractional coordinates of all 4 atoms:
Be 0.0000 0.0000 0.0000  5 Pt 2.31-2.44
In 0.5000 0.5000 0.3428  5 Pt 2.69-2.73
Pt 0.0000 0.0000 0.6005  1 Be 2.44, 4 In 2.73
Pt 0.5000 0.5000 0.9026  4 Be 2.31